Run w
Here is a relaxed CaYBe2Si crystal from Alexandria via LeMat-Bulk. Energies are from GGA-PBE.

Calculated values
Size of the total moment ... 0.00 μB/cell

a b c (Å): 4.7532 4.7532 5.6935
angles (deg): 90.00 90.00 90.00
Last column: nearest neighbours and their distance in Å.
Element x y z (fractional)
1 Ca 0.0000 0.0000 0.0000  4 Be 2.38
2 Y 0.0000 0.0000 0.5000  2 Ca 2.85
3 Be 0.0000 0.5000 0.0000  2 Ca 2.38
4 Be 0.5000 0.0000 0.0000  2 Ca 2.38
5 Si 0.5000 0.5000 0.5000  4 Y 3.36, 8 Be 3.71



Run x
Here is a relaxed CaYBe2Si crystal from Alexandria via LeMat-Bulk. Energies are from GGA-PBE.

Calculated values
Size of the total moment ... 0.00 μB/cell

a b c (Å): 4.4666 4.4666 5.1868
angles (deg): 90.00 90.00 90.00
Last column: nearest neighbours and their distance in Å.
Element x y z (fractional)
1 Ca 0.0000 0.0000 0.0000  2 Si 2.59
2 Y 0.5000 0.5000 0.0000  4 Ca 3.16, 8 Be 3.42
3 Be 0.0000 0.5000 0.5000  2 Si 2.23
4 Be 0.5000 0.0000 0.5000  2 Si 2.23
5 Si 0.0000 0.0000 0.5000  4 Be 2.23



run x is the most stable structure; the next one sits 1208 meV per atom above it.



Run w
Here is a relaxed Ca2BeSn2 crystal from Alexandria via LeMat-Bulk. Energies are from GGA-PBE.

Calculated values
Size of the total moment ... 0.00 μB/cell

a b c (Å): 6.3160 6.3160 7.7644
angles (deg): 90.00 90.00 90.00
Last column: nearest neighbours and their distance in Å.
Element x y z (fractional)
1 Ca 0.0000 0.5000 0.2500  4 Sn 3.19
2 Ca 0.0000 0.5000 0.7500  4 Sn 3.19
3 Ca 0.5000 0.0000 0.2500  4 Sn 3.19
4 Ca 0.5000 0.0000 0.7500  4 Sn 3.19
5 Be 0.0000 0.0000 0.0000  2 Sn 2.42
6 Be 0.5000 0.5000 0.5000  2 Sn 2.42
7 Sn 0.0000 0.0000 0.3120  1 Be 2.42
8 Sn 0.0000 0.0000 0.6880  1 Be 2.42
9 Sn 0.5000 0.5000 0.1880  1 Be 2.42
10 Sn 0.5000 0.5000 0.8120  1 Be 2.42



Run x
Here is a relaxed Ca2BeSn2 crystal from Alexandria via LeMat-Bulk. Energies are from GGA-PBE.

Calculated values
Size of the total moment ... 0.00 μB/cell

a b c (Å): 7.1856 7.1856 4.9529
angles (deg): 90.00 90.00 90.00
Last column: nearest neighbours and their distance in Å.
Element x y z (fractional)
1 Ca 0.1661 0.3339 0.0000  6 Sn 3.12-3.35, 1 Ca 3.38
2 Ca 0.3339 0.8339 0.0000  6 Sn 3.12-3.35, 1 Ca 3.38
3 Ca 0.6661 0.1661 0.0000  6 Sn 3.12-3.35, 1 Ca 3.38
4 Ca 0.8339 0.6661 0.0000  6 Sn 3.12-3.35, 1 Ca 3.38
5 Be 0.0000 0.0000 0.5000  4 Sn 2.75
6 Be 0.5000 0.5000 0.5000  4 Sn 2.75
7 Sn 0.1475 0.6475 0.5000  2 Be 2.75, 1 Sn 3.00
8 Sn 0.3525 0.1475 0.5000  2 Be 2.75, 1 Sn 3.00
9 Sn 0.6475 0.8525 0.5000  2 Be 2.75, 1 Sn 3.00
10 Sn 0.8525 0.3525 0.5000  2 Be 2.75, 1 Sn 3.00



run x is the most stable structure; the next one sits 377 meV per atom above it.



Run w
Here is a relaxed Ca2Be2Sn crystal from Alexandria via LeMat-Bulk. Energies are from GGA-PBE.

Calculated values
Size of the total moment ... 0.00 μB/cell

a b c (Å): 6.7836 6.7836 4.6367
angles (deg): 90.00 90.00 90.00
Last column: nearest neighbours and their distance in Å.
Element x y z (fractional)
1 Ca 0.1848 0.3152 0.0000  6 Be 3.05-3.10, 4 Sn 3.39
2 Ca 0.3152 0.8152 0.0000  6 Be 3.05-3.10, 4 Sn 3.39
3 Ca 0.6848 0.1848 0.0000  6 Be 3.05-3.10, 4 Sn 3.39
4 Ca 0.8152 0.6848 0.0000  6 Be 3.05-3.10, 4 Sn 3.39
5 Be 0.1092 0.6092 0.5000  1 Be 2.09
6 Be 0.3908 0.1092 0.5000  1 Be 2.09
7 Be 0.6092 0.8908 0.5000  1 Be 2.09
8 Be 0.8908 0.3908 0.5000  1 Be 2.09
9 Sn 0.0000 0.0000 0.5000  4 Be 2.75
10 Sn 0.5000 0.5000 0.5000  4 Be 2.75



Run x
Here is a relaxed Ca2Be2Sn crystal from Alexandria via LeMat-Bulk. Energies are from GGA-PBE.

Calculated values
Size of the total moment ... 0.00 μB/cell

a b c (Å): 4.4959 4.4959 11.3800
angles (deg): 90.00 90.00 90.00
Last column: nearest neighbours and their distance in Å.
Element x y z (fractional)
1 Ca 0.0000 0.5000 0.2500  4 Be 2.90, 4 Ca 3.18
2 Ca 0.0000 0.5000 0.7500  4 Be 2.90, 4 Ca 3.18
3 Ca 0.5000 0.0000 0.2500  4 Be 2.90, 4 Ca 3.18
4 Ca 0.5000 0.0000 0.7500  4 Be 2.90, 4 Ca 3.18
5 Be 0.0000 0.0000 0.0883  1 Be 2.01
6 Be 0.0000 0.0000 0.9117  1 Be 2.01
7 Be 0.5000 0.5000 0.4117  1 Be 2.01
8 Be 0.5000 0.5000 0.5883  1 Be 2.01
9 Sn 0.0000 0.0000 0.5000  8 Be 3.33, 8 Ca 3.63
10 Sn 0.5000 0.5000 0.0000  8 Be 3.33, 8 Ca 3.63



run w is the most stable structure; the next one sits 451 meV per atom above it.



Run w
Here is a relaxed CaBe3Sn crystal from Alexandria via LeMat-Bulk. Energies are from GGA-PBE.

Calculated values
Size of the total moment ... 0.00 μB/cell

a b c (Å): 5.0431 5.0431 5.0431
angles (deg): 90.00 90.00 90.00
Last column: nearest neighbours and their distance in Å.
Element x y z (fractional)
1 Ca 0.0000 0.0000 0.0000  6 Be 2.52
2 Be 0.0000 0.0000 0.5000  2 Ca 2.52
3 Be 0.0000 0.5000 0.0000  2 Ca 2.52
4 Be 0.5000 0.0000 0.0000  2 Ca 2.52
5 Sn 0.5000 0.5000 0.5000  12 Be 3.57



Run x
Here is a relaxed CaBe3Sn crystal from Alexandria via LeMat-Bulk. Energies are from GGA-PBE.

Calculated values
Size of the total moment ... 0.00 μB/cell

a b c (Å): 4.7034 4.7034 4.7034
angles (deg): 90.00 90.00 90.00
Last column: nearest neighbours and their distance in Å.
Element x y z (fractional)
1 Ca 0.0000 0.0000 0.0000  12 Be 3.33
2 Be 0.0000 0.5000 0.5000  2 Sn 2.35
3 Be 0.5000 0.0000 0.5000  2 Sn 2.35
4 Be 0.5000 0.5000 0.0000  2 Sn 2.35
5 Sn 0.5000 0.5000 0.5000  6 Be 2.35



run x is the most stable structure; the next one sits 951 meV per atom above it.



Run w
Here is a relaxed CaBeSn3 crystal from Alexandria via LeMat-Bulk. Energies are from GGA-PBE.

Calculated values
Size of the total moment ... 0.00 μB/cell

a b c (Å): 5.7940 5.7940 5.7940
angles (deg): 90.00 90.00 90.00
Last column: nearest neighbours and their distance in Å.
Element x y z (fractional)
1 Ca 0.0000 0.0000 0.0000  6 Sn 2.90
2 Be 0.5000 0.5000 0.5000  12 Sn 4.10
3 Sn 0.0000 0.0000 0.5000  2 Ca 2.90
4 Sn 0.0000 0.5000 0.0000  2 Ca 2.90
5 Sn 0.5000 0.0000 0.0000  2 Ca 2.90



Run x
Here is a relaxed CaBeSn3 crystal from Alexandria via LeMat-Bulk. Energies are from GGA-PBE.

Calculated values
Size of the total moment ... 0.00 μB/cell

a b c (Å): 5.0512 5.0512 5.0512
angles (deg): 90.00 90.00 90.00
Last column: nearest neighbours and their distance in Å.
Element x y z (fractional)
1 Ca 0.0000 0.0000 0.0000  12 Sn 3.57
2 Be 0.5000 0.5000 0.5000  6 Sn 2.53
3 Sn 0.0000 0.5000 0.5000  2 Be 2.53
4 Sn 0.5000 0.0000 0.5000  2 Be 2.53
5 Sn 0.5000 0.5000 0.0000  2 Be 2.53



run x is the most stable structure; the next one sits 1166 meV per atom above it.



Run w
Here is a relaxed SrCaBe3 crystal from Alexandria via LeMat-Bulk. Energies are from GGA-PBE.

Calculated values
Size of the total moment ... 0.00 μB/cell

a b c (Å): 5.2618 5.2618 5.2618
angles (deg): 90.00 90.00 90.00
Last column: nearest neighbours and their distance in Å.
Element x y z (fractional)
1 Sr 0.0000 0.0000 0.0000  6 Be 2.63
2 Ca 0.5000 0.5000 0.5000  12 Be 3.72
3 Be 0.0000 0.0000 0.5000  2 Sr 2.63
4 Be 0.0000 0.5000 0.0000  2 Sr 2.63
5 Be 0.5000 0.0000 0.0000  2 Sr 2.63



Run x
Here is a relaxed SrCaBe3 crystal from Alexandria via LeMat-Bulk. Energies are from GGA-PBE.

Calculated values
Size of the total moment ... 0.00 μB/cell

a b c (Å): 5.1901 5.1901 5.1901
angles (deg): 90.00 90.00 90.00
Last column: nearest neighbours and their distance in Å.
Element x y z (fractional)
1 Sr 0.0000 0.0000 0.0000  12 Be 3.67
2 Ca 0.5000 0.5000 0.5000  6 Be 2.60
3 Be 0.0000 0.5000 0.5000  2 Ca 2.60
4 Be 0.5000 0.0000 0.5000  2 Ca 2.60
5 Be 0.5000 0.5000 0.0000  2 Ca 2.60



run x is the most stable structure; the next one sits 265 meV per atom above it.